No. 1
First-principles (GGA-PBE) data for a geometry-optimized AcTbTe2 structure, as listed in Alexandria via LeMat-Bulk.

abc: 4.6450 10.2000 7.2177
angles: 90.00 90.00 90.00
Element x y z (fractional)
Ac1 0.0000 0.0876 0.0000
Ac2 0.5000 0.9124 0.5000
Tb1 0.0000 0.6605 0.8489
Tb2 0.5000 0.3395 0.3489
Te1 0.0000 0.4146 0.1062
Te2 0.0000 0.8072 0.2069
Te3 0.5000 0.1928 0.7069
Te4 0.5000 0.5854 0.6062

## Properties
- calculated total energy (eV per atom) = -4.75
- mass density (g/cm3) = 6.2

=====

No. 2
First-principles (GGA-PBE) data for a geometry-optimized Ac6TbTe8 structure, as listed in Alexandria via LeMat-Bulk.

abc: 9.4050 9.4050 9.4050
angles: 60.00 60.00 60.00
Element x y z (fractional)
Ac1 0.0000 0.0000 0.5000
Ac2 0.0000 0.5000 0.0000
Ac3 0.0000 0.5000 0.5000
Ac4 0.5000 0.0000 0.0000
Ac5 0.5000 0.0000 0.5000
Ac6 0.5000 0.5000 0.0000
Tb1 0.0000 0.0000 0.0000
Te1 0.2397 0.2397 0.7603
Te2 0.2397 0.7603 0.2397
Te3 0.2397 0.7603 0.7603
Te4 0.2500 0.2500 0.2500
Te5 0.7500 0.7500 0.7500
Te6 0.7603 0.2397 0.2397
Te7 0.7603 0.2397 0.7603
Te8 0.7603 0.7603 0.2397

## Properties
- calculated total energy (eV per atom) = -5.13
- mass density (g/cm3) = 7.2

=====

No. 3
First-principles (GGA-PBE) data for a geometry-optimized Ac2Tb2Te7 structure, as listed in Alexandria via LeMat-Bulk.

abc: 7.9004 7.9004 6.8245
angles: 90.00 90.00 96.26
Element x y z (fractional)
Ac1 0.2378 0.2378 0.0000
Ac2 0.7622 0.7622 0.0000
Tb1 0.2717 0.7283 0.5000
Tb2 0.7283 0.2717 0.5000
Te1 0.0000 0.0000 0.5000
Te2 0.0000 0.5000 0.2467
Te3 0.0000 0.5000 0.7533
Te4 0.5000 0.0000 0.2467
Te5 0.5000 0.0000 0.7533
Te6 0.5000 0.5000 0.2573
Te7 0.5000 0.5000 0.7427

## Properties
- calculated total energy (eV per atom) = -4.73
- mass density (g/cm3) = 6.5

=====

no.,formation energy without anion corrections (eV/atom)
1,-1.00
2,-1.50
3,-1.14